## NaMoI2O (PBE with a Hubbard U)

Data for an optimized crystal structure of NaMoI2O.

Calculated values
distance to the lowest polymorph of the same formula: 0.000 eV/f.u.
SG: P4/mmm, No. 123

Lattice parameters (Å, degrees): 6.024 6.024 3.960 90.00 90.00 90.00
Each line ends with the local moment (μB).
Positions (direct):
I1 0.500 0.000 0.000  -0.01
I2 0.000 0.500 0.000  -0.01
Mo1 0.000 0.000 0.000  2.92
O1 0.000 0.000 0.500  -0.20
Na1 0.500 0.500 0.500  0.00